[1]
{"formula": "LaBe2Ni", "functional": "GGA-PBEsol", "state": "relaxed", "e_form_mev_per_atom": -173.8, "spacegroup": "Cm (8)", "relative_energy_mev_per_atom": 0, "dos_ef_per_ev_atom": 0.71, "volume_a3_per_atom": 15.8, "cell": [[3.290, -1.934, 0.000], [3.290, 1.934, 0.000], [-1.560, 0.000, 4.981]], "species": ["La", "Be", "Be", "Ni"], "frac_coords": [[0.000, 0.000, 0.000], [0.462, 0.462, 0.499], [0.778, 0.778, 0.446], [0.139, 0.139, 0.546]]}

[2]
{"formula": "LaBe2Ni", "functional": "GGA-PBEsol", "state": "relaxed", "e_form_mev_per_atom": 329.3, "spacegroup": "Fm-3m (225)", "relative_energy_mev_per_atom": 503, "dos_ef_per_ev_atom": 0.96, "volume_a3_per_atom": 15.4, "cell": [[0.000, 3.132, 3.132], [3.132, 0.000, 3.132], [3.132, 3.132, 0.000]], "species": ["La", "Be", "Be", "Ni"], "frac_coords": [[0.000, 0.000, 0.000], [0.250, 0.250, 0.250], [0.750, 0.750, 0.750], [0.500, 0.500, 0.500]]}